(1)
The following is a GGA-PBE calculation of Ho2PbS4 after structural relaxation, from the Alexandria database.

Geometry as POSCAR:
```
Ho2PbS4
1.0
12.059 0.000 0.000
0.000 3.974 0.000
0.000 0.000 14.413
Ho Pb S
8 4 16
Direct
0.061 0.250 0.109
0.083 0.250 0.601
0.417 0.750 0.101
0.439 0.750 0.609
0.561 0.250 0.391
0.583 0.250 0.899
0.917 0.750 0.399
0.939 0.750 0.891
0.224 0.250 0.336
0.276 0.750 0.836
0.724 0.250 0.164
0.776 0.750 0.664
0.016 0.750 0.712
0.087 0.250 0.923
0.127 0.750 0.473
0.206 0.750 0.171
0.294 0.250 0.671
0.373 0.250 0.973
0.413 0.750 0.423
0.484 0.250 0.212
0.516 0.750 0.788
0.587 0.250 0.577
0.627 0.750 0.027
0.706 0.750 0.329
0.794 0.250 0.829
0.873 0.250 0.527
0.913 0.750 0.077
0.984 0.250 0.288
```

Output
**Total magnetic moment**: 0.000 μB/cell
**Relative energy among the computed polymorphs**: 0.003 eV per atom
**Space-group type**: No. 62
**Formation energy without anion corrections**: -1.636 eV per atom

---

(2)
The following is a GGA-PBE calculation of SrBe2PtO6 after structural relaxation, from the Alexandria database.

Geometry as POSCAR:
```
SrBe2PtO6
1.0
4.675 -4.721 0.000
4.675 4.721 0.000
-1.927 0.000 5.460
Sr Be Pt O
2 4 2 12
Direct
0.100 0.900 0.750
0.900 0.100 0.250
0.230 0.372 0.868
0.372 0.230 0.368
0.628 0.770 0.632
0.770 0.628 0.132
0.293 0.707 0.250
0.707 0.293 0.750
0.003 0.262 0.716
0.223 0.614 0.898
0.262 0.003 0.216
0.276 0.386 0.186
0.386 0.276 0.686
0.386 0.777 0.602
0.614 0.223 0.398
0.614 0.724 0.314
0.724 0.614 0.814
0.738 0.997 0.784
0.777 0.386 0.102
0.997 0.738 0.284
```

Output
**Total magnetic moment**: 3.383 μB/cell
**Space-group type**: No. 15
**Formation energy without anion corrections**: -1.633 eV per atom

---

(3)
The following is a GGA-PBE calculation of La6TbHg5 after structural relaxation, from the Alexandria database.

Geometry as POSCAR:
```
La6TbHg5
1.0
5.485 0.000 0.000
0.000 7.898 0.000
-2.739 0.000 8.445
La Tb Hg
6 1 5
Direct
0.000 0.226 0.000
0.000 0.774 0.000
0.327 0.253 0.652
0.327 0.747 0.652
0.673 0.253 0.348
0.673 0.747 0.348
0.500 0.500 0.000
0.147 0.500 0.296
0.167 0.000 0.336
0.500 0.000 0.000
0.833 0.000 0.664
0.853 0.500 0.704
```

Output
**Total magnetic moment**: 1.048 μB/cell
**Space-group type**: No. 10
**Energy relative to the elements**: -0.374 eV per atom

---

(4)
The following is a GGA-PBE calculation of Al2Zn2Ge after structural relaxation, from the Alexandria database.

Geometry as POSCAR:
```
Al2Zn2Ge
1.0
-1.961 1.961 5.896
1.961 -1.961 5.896
1.961 1.961 -5.896
Al Zn Ge
2 2 1
Direct
0.250 0.750 0.500
0.750 0.250 0.500
0.103 0.103 0.000
0.897 0.897 0.000
0.500 0.500 0.000
```

Output
**Total magnetic moment**: 0.000 μB/cell
**Relative energy among the computed polymorphs**: 0.034 eV per atom
**Space-group type**: No. 139
**Energy relative to the elements**: 0.193 eV per atom

---

(5)
The following is a GGA-PBE calculation of NaRu2Cl after structural relaxation, from the Alexandria database.

Geometry as POSCAR:
```
NaRu2Cl
1.0
-3.683 3.683 2.545
3.683 -3.683 2.545
3.683 3.683 -2.545
Na Ru Cl
2 4 2
Direct
0.000 0.000 0.000
0.750 0.250 0.500
0.217 0.625 0.092
0.375 0.467 0.592
0.533 0.125 0.908
0.875 0.783 0.408
0.250 0.750 0.500
0.500 0.500 0.000
```

Output
**Total magnetic moment**: 0.000 μB/cell
**Relative energy among the computed polymorphs**: 0.000 eV per atom
**Space-group type**: No. 122
**Formation energy without anion corrections**: 0.904 eV per atom

---

(6)
The following is a GGA-PBE calculation of UI3F after structural relaxation, from the Alexandria database.

Geometry as POSCAR:
```
UI3F
1.0
6.074 -4.817 0.000
6.074 4.817 0.000
-5.517 0.000 7.048
U I F
2 6 2
Direct
0.170 0.170 0.437
0.830 0.830 0.563
0.166 0.166 0.777
0.245 0.628 0.686
0.372 0.755 0.314
0.628 0.245 0.686
0.755 0.372 0.314
0.834 0.834 0.223
0.172 0.172 0.214
0.828 0.828 0.786
```

Output
**Total magnetic moment**: 4.000 μB/cell
**Relative energy among the computed polymorphs**: 0.010 eV per atom
**Space-group type**: No. 12
**Formation energy without anion corrections**: -1.485 eV per atom